{"formula": "NdMnNiP2", "functional": "PBE", "state": "optimized geometry", "e_tot_ev_per_fu": -35.1, "ef_ev_per_atom": -0.919, "space_group": "No. 119", "cell": [[-1.876, 1.876, 5.607], [1.876, -1.876, 5.607], [1.876, 1.876, -5.607]], "species": ["Nd", "Mn", "Ni", "P", "P"], "frac_coords": [[0.000, 0.000, 0.000], [0.750, 0.250, 0.500], [0.250, 0.750, 0.500], [0.359, 0.359, 0.000], [0.641, 0.641, 0.000]]}